## La2Nd3Pt2 (PBE-GGA)

Data for an optimized crystal structure of La2Nd3Pt2.

The value obtained for the formation enthalpy at 0 K is -0.70 eV/atom. Its density is 8.64 g/cm³. As for the density of states at the Fermi level: 9.00 states/eV per cell.

Cell and atoms, written as POSCAR:
```
La2Nd3Pt2
1.0
-0.110 -3.602 1.562
4.239 -0.186 -5.068
3.766 3.329 7.942
La Nd Pt
2 3 2
Cartesian
3.456 -2.505 -0.595
4.439 2.046 5.031
-0.055 -1.801 0.781
2.542 -0.827 3.210
5.352 0.368 1.226
5.577 -0.568 4.021
2.317 0.109 0.415
```



## Y3RhSe (PBE-GGA)

Data for an optimized crystal structure of Y3RhSe.

The raw formation energy comes out at -497.2 meV per atom. Its density is 4.90 g/cm³. The calculation puts the energy above the most stable polymorph in this dataset at 0.0000 eV/atom. As for the density of states at the Fermi level: 5.04 states/eV per cell.

Cell and atoms, written as POSCAR:
```
Y3RhSe
1.0
-3.123 2.636 -3.433
-4.279 -2.517 1.960
-0.651 3.899 3.586
Y Rh Se
3 1 1
Cartesian
-2.139 -1.259 0.980
-0.325 1.949 1.793
-1.562 1.318 -1.716
0.000 0.000 0.000
-4.026 2.009 1.057
```



## Nd2Tl5Cd (PBE-GGA)

Data for an optimized crystal structure of Nd2Tl5Cd.

The value obtained for the formation enthalpy at 0 K is -0.31 eV/atom. Its density is 10.69 g/cm³. As for the density of states at the Fermi level: 8.07 states/eV per cell.

Cell and atoms, written as POSCAR:
```
Nd2Tl5Cd
1.0
-1.687 4.556 0.226
-5.939 -2.080 -2.400
-4.311 -2.221 12.593
Nd Tl Cd
4 10 2
Cartesian
-3.999 0.909 4.174
-7.938 -0.653 6.245
-6.023 -0.156 10.524
-5.914 0.412 -0.105
-2.928 1.463 0.995
-9.009 -1.207 9.423
-7.016 -0.153 3.062
-4.921 0.409 7.357
-9.090 -3.714 7.023
-1.160 -0.587 3.170
-6.154 -2.691 8.319
-4.097 -1.609 1.873
-5.125 -2.150 5.096
0.000 0.000 0.000
-2.155 -1.110 6.296
-2.970 -1.040 -1.200
```



## CeBeC (PBE-GGA)

Data for an optimized crystal structure of CeBeC.

The value obtained for the formation enthalpy at 0 K is -0.18 eV/atom. Its density is 7.08 g/cm³. The calculation puts the energy above the most stable polymorph in this dataset at 0.0000 eV/atom. As for the density of states at the Fermi level: 2.12 states/eV per cell.

Cell and atoms, written as POSCAR:
```
CeBeC
1.0
4.115 0.000 0.000
0.000 3.256 0.000
0.000 -1.628 2.819
Be C Ce
1 1 1
Cartesian
0.686 0.000 1.880
0.686 0.000 0.000
2.744 1.628 0.940
```



## NbCr4Os (PBE-GGA)

Data for an optimized crystal structure of NbCr4Os.

The value obtained for the formation enthalpy at 0 K is 0.01 eV/atom. Its density is 10.32 g/cm³. As for the density of states at the Fermi level: 11.02 states/eV per cell.

Cell and atoms, written as POSCAR:
```
NbCr4Os
1.0
-2.352 3.681 2.030
-4.530 -0.586 1.530
-0.959 -0.063 4.720
Cr Nb Os
4 1 1
Cartesian
-4.416 1.923 2.827
-2.647 2.182 4.408
-4.891 1.891 5.166
-3.726 0.068 4.160
-1.960 0.758 2.070
0.000 0.000 0.000
```



## LiZnTe2 (PBE-GGA)

Data for an optimized crystal structure of LiZnTe2.

The raw formation energy comes out at -270.1 meV per atom. Its density is 4.66 g/cm³. As for the density of states at the Fermi level: 0.43 states/eV per cell.

Cell and atoms, written as POSCAR:
```
LiZnTe2
1.0
8.816 -0.011 -0.007
7.923 3.866 -0.007
7.923 1.824 3.408
Zn Te Li
1 2 1
Cartesian
12.331 2.839 1.697
22.118 5.093 3.044
2.545 0.586 0.350
0.000 0.000 0.000
```



## Be2NiW (PBE-GGA)

Data for an optimized crystal structure of Be2NiW.

The value obtained for the formation enthalpy at 0 K is 0.28 eV/atom. Its density is 9.15 g/cm³. The calculation puts the energy above the most stable polymorph in this dataset at 0.4508 eV/atom. As for the density of states at the Fermi level: 2.27 states/eV per cell.

Cell and atoms, written as POSCAR:
```
Be2NiW
1.0
-0.497 -4.167 -6.926
2.094 -3.784 -6.847
1.028 -5.800 -5.557
Ni W Be
1 1 2
Cartesian
1.334 -6.988 -9.824
1.968 -10.306 -14.488
2.609 -13.664 -19.209
0.653 -3.417 -4.804
```



## Pm2Ga4IrPd3 (PBE-GGA)

Data for an optimized crystal structure of Pm2Ga4IrPd3.

The value obtained for the formation enthalpy at 0 K is -0.78 eV/atom. Its density is 9.41 g/cm³. As for the density of states at the Fermi level: 6.41 states/eV per cell.

Cell and atoms, written as POSCAR:
```
Pm2Ga4IrPd3
1.0
-2.621 -1.021 3.263
-2.817 -1.685 -2.790
4.620 -9.135 0.853
Pm Ga Ir Pd
2 4 1 3
Cartesian
-0.134 -2.837 1.849
2.035 -7.651 -0.759
-2.719 -1.353 0.237
0.000 0.000 0.000
1.591 -6.247 2.167
0.310 -4.241 -1.077
-0.409 -5.921 0.664
2.310 -4.567 0.427
2.704 -8.448 2.373
-0.803 -2.040 -1.283
```



## ZnRh2Br (PBE-GGA)

Data for an optimized crystal structure of ZnRh2Br.

The raw formation energy comes out at 528.3 meV per atom. Its density is 8.80 g/cm³. The calculation puts the energy above the most stable polymorph in this dataset at 0.4190 eV/atom. As for the density of states at the Fermi level: 4.25 states/eV per cell.

Cell and atoms, written as POSCAR:
```
ZnRh2Br
1.0
4.542 0.000 0.000
2.271 3.933 0.000
2.271 1.311 3.708
Br Rh Zn
1 2 1
Cartesian
4.542 2.622 1.854
0.000 0.000 0.000
2.271 1.311 0.927
6.813 3.933 2.781
```



## CuHgF (PBE-GGA)

Data for an optimized crystal structure of CuHgF.

The raw formation energy comes out at -655.5 meV per atom. Its density is 9.54 g/cm³. The calculation puts the energy above the most stable polymorph in this dataset at 0.0000 eV/atom. As for the density of states at the Fermi level: 0.79 states/eV per cell.

Cell and atoms, written as POSCAR:
```
CuHgF
1.0
-0.241 -0.373 3.224
-1.188 -2.280 -1.995
4.744 -2.526 0.063
Hg Cu F
1 1 1
Cartesian
0.139 -0.074 0.002
1.276 -1.984 1.508
1.900 -3.120 -0.219
```